The following is a DFT calculation (PBE) of AlVRh2 after structural relaxation.

Unit cell a=2.845 b=2.845 c=6.768 alpha=90.00 beta=90.00 gamma=90.00
Sites, in units of the cell vectors:
Rh  0.000  0.000  0.241
Rh  0.000  0.000  0.759
V  0.500  0.500  0.500
Al  0.500  0.500  0.000


The following is a DFT calculation (PBE) of PrSm3Ga4 after structural relaxation.

Unit cell a=5.186 b=7.345 c=10.371 alpha=90.00 beta=90.00 gamma=90.00
Sites, in units of the cell vectors:
Ga  0.500  0.754  0.500
Ga  0.500  0.246  0.500
Ga  0.500  0.754  0.000
Ga  0.001  0.246  0.750
Ga  0.500  0.246  0.000
Sm  0.500  0.500  0.250
Ga  0.999  0.246  0.250
Pr  0.000  0.500  0.500
Ga  0.999  0.754  0.250
Pr  0.000  0.500  0.000
Sm  0.000  0.000  0.500
Sm  0.500  0.500  0.750
Sm  0.500  0.000  0.250
Sm  0.500  0.000  0.750
Ga  0.001  0.754  0.750
Sm  0.000  0.000  0.000

Calculated values
Relative energy among the computed polymorphs in meV per atom: 0


Ordered formation energy from the elements results: -0.72 -0.56; unit eV/atom.
Ordered total magnetic moment results: 0.52 0.00; unit μB per cell.
Ordered VASP energy results: -30.43 -71.11; unit eV/cell.